[1]
Sr2CuGe4Au3 | Alexandria via LeMat-Bulk | PBE | optimized geometry; volume = 21.62 Å³ per atom
1.0
4.4589 0.0000 0.0000
0.0000 4.4589 0.0000
0.0000 0.0000 10.8732
Sr Cu Ge Au
2 1 4 3
direct
0.0000 0.5000 0.2414 Sr
0.5000 0.0000 0.7586 Sr
0.5000 0.5000 0.0000 Cu
0.0000 0.0000 0.5000 Ge
0.0000 0.5000 0.8763 Ge
0.5000 0.0000 0.1237 Ge
0.5000 0.5000 0.5000 Ge
0.0000 0.0000 0.0000 Au
0.0000 0.5000 0.6383 Au
0.5000 0.0000 0.3617 Au



[2]
Sr2Cu3Ge4Au | Alexandria via LeMat-Bulk | PBE | optimized geometry; volume = 19.72 Å³ per atom
1.0
4.3423 0.0000 0.0000
0.0000 4.3423 0.0000
0.0000 0.0000 10.4589
Sr Cu Ge Au
2 3 4 1
direct
0.0000 0.5000 0.2491 Sr
0.5000 0.0000 0.7509 Sr
0.0000 0.5000 0.8753 Cu
0.5000 0.0000 0.1247 Cu
0.5000 0.5000 0.5000 Cu
0.0000 0.0000 0.0000 Ge
0.0000 0.5000 0.6381 Ge
0.5000 0.0000 0.3619 Ge
0.5000 0.5000 0.0000 Ge
0.0000 0.0000 0.5000 Au



[3]
SrCuGe2Au | Alexandria via LeMat-Bulk | PBE | optimized geometry; volume = 20.65 Å³ per atom
1.0
-2.2190 2.2190 5.2427
2.2190 -2.2190 5.2427
2.2190 2.2190 -5.2427
Sr Cu Ge Au
1 1 2 1
direct
0.0000 0.0000 0.0000 Sr
0.2500 0.7500 0.5000 Cu
0.3784 0.3784 0.0000 Ge
0.6216 0.6216 0.0000 Ge
0.7500 0.2500 0.5000 Au



[4]
CuGeTe4Au2 | Alexandria via LeMat-Bulk | PBE | optimized geometry; volume = 29.75 Å³ per atom; formation energy from raw total energies = -0.08 eV/atom
1.0
-3.1055 3.1055 6.1703
3.1055 -3.1055 6.1703
3.1055 3.1055 -6.1703
Cu Ge Te Au
1 1 4 2
direct
0.0000 0.0000 0.0000 Cu
0.7500 0.2500 0.5000 Ge
0.1158 0.1218 0.4784 Te
0.3625 0.8842 0.0060 Te
0.6434 0.6375 0.5216 Te
0.8782 0.3566 0.9940 Te
0.2500 0.7500 0.5000 Au
0.5000 0.5000 0.0000 Au



Total moment (μB/cell)
0.00; 0.00; 0.00; 0.00
Final energy (eV/atom)
-4.030; -4.114; -4.078; -3.559